Computed, not measured: a relaxed Sm2Y2CI3Br2 crystal at the PBE level of DFT.

Its magnetization is 0.27 μB per formula unit. The polymorph energy (0 for the lowest one) is 1.3 kJ/mol of atoms. As for the symmetry: No. 12.

a b c (Å): 9.441 9.441 8.598
angles (deg): 102.76 102.76 24.20
Positions (direct):
Br1 0.836 0.836 0.173
Br2 0.164 0.164 0.827
C1 0.500 0.500 0.000
I1 0.168 0.168 0.349
I2 0.500 0.500 0.500
I3 0.832 0.832 0.651
Sm1 0.637 0.637 0.065
Sm2 0.363 0.363 0.935
Y1 0.000 0.000 0.190
Y2 0.000 0.000 0.810